1.
# RbZnHgAu2, relaxed, DFT GGA-PBE
data_RbZnHgAu2
_cell_length_a 5.1584
_cell_length_b 5.1584
_cell_length_c 5.3059
_cell_angle_alpha 90.00
_cell_angle_beta 90.00
_cell_angle_gamma 90.00
_symmetry_space_group_name_H-M 'P 4/m m m'
_symmetry_Int_Tables_number 123
_symmetry_space_group_name_Hall '-P 4 2'
loop_
_atom_site_label
_atom_site_type_symbol
_atom_site_fract_x
_atom_site_fract_y
_atom_site_fract_z
Rb1 Rb 0.0000 0.0000 0.0000
Zn1 Zn 0.5000 0.5000 0.5000
Hg1 Hg 0.5000 0.5000 0.0000
Au1 Au 0.0000 0.5000 0.5000
# * density: 8767 kg/m³
# * D(E_F): 1.29 states/eV/f.u.
# * raw total energy: -9.68 eV per cell

2.
# CrIn2Si, relaxed, DFT GGA-PBE
data_CrIn2Si
_cell_length_a 9.5793
_cell_length_b 3.5520
_cell_length_c 4.8633
_cell_angle_alpha 90.00
_cell_angle_beta 103.37
_cell_angle_gamma 90.00
_symmetry_space_group_name_H-M 'C 1 2/m 1'
_symmetry_Int_Tables_number 12
loop_
_symmetry_equiv_pos_as_xyz
'x,y,z'
'-x,-y,-z'
'-x,y,-z'
'x,-y,z'
'x+1/2,y+1/2,z'
'-x+1/2,-y+1/2,-z'
'-x+1/2,y+1/2,-z'
'x+1/2,-y+1/2,z'
loop_
_atom_site_label
_atom_site_type_symbol
_atom_site_fract_x
_atom_site_fract_y
_atom_site_fract_z
Cr1 Cr 0.0000 0.0000 0.0000
In1 In 0.2471 0.0000 0.7496
Si1 Si 0.0000 0.5000 0.5000
# * density: 6389 kg/m³
# * D(E_F): 1.83 states/eV/f.u.
# * uncorrected formation energy: 463.3 meV/atom
# * excess energy over the best structure of this formula in the dataset: 0.241 eV/atom

3.
# SmY5Sc4, relaxed, DFT GGA-PBE
data_SmY5Sc4
_cell_length_a 9.8681
_cell_length_b 9.8681
_cell_length_c 6.1879
_cell_angle_alpha 90.00
_cell_angle_beta 90.00
_cell_angle_gamma 90.00
_symmetry_space_group_name_H-M 'I 4'
_symmetry_Int_Tables_number 79
loop_
_symmetry_equiv_pos_as_xyz
'x,y,z'
'-y,x,z'
'-x,-y,z'
'y,-x,z'
'x+1/2,y+1/2,z+1/2'
'-y+1/2,x+1/2,z+1/2'
'-x+1/2,-y+1/2,z+1/2'
'y+1/2,-x+1/2,z+1/2'
loop_
_atom_site_label
_atom_site_type_symbol
_atom_site_fract_x
_atom_site_fract_y
_atom_site_fract_z
Sm1 Sm 0.0000 0.0000 0.0000
Y1 Y 0.0000 0.0000 0.4532
Y2 Y 0.1474 0.7538 0.7282
Sc1 Sc 0.0573 0.6398 0.2291
# * density: 4270 kg/m³
# * D(E_F): 16.56 states/eV/f.u.
# * raw total energy: -118.01 eV per cell

4.
# TbHoNp2Se4, relaxed, DFT GGA-PBE
data_TbHoNp2Se4
_cell_length_a 7.0376
_cell_length_b 4.0898
_cell_length_c 7.1293
_cell_angle_alpha 90.00
_cell_angle_beta 109.58
_cell_angle_gamma 90.00
_symmetry_space_group_name_H-M 'P 1 2/m 1'
_symmetry_Int_Tables_number 10
loop_
_symmetry_equiv_pos_as_xyz
'x,y,z'
'-x,-y,-z'
'-x,y,-z'
'x,-y,z'
loop_
_atom_site_label
_atom_site_type_symbol
_atom_site_fract_x
_atom_site_fract_y
_atom_site_fract_z
Tb1 Tb 0.0000 0.0000 0.0000
Ho1 Ho 0.0000 0.5000 0.5000
Np1 Np 0.5000 0.0000 0.5000
Np2 Np 0.5000 0.5000 0.0000
Se1 Se 0.2459 0.0000 0.7480
Se2 Se 0.2472 0.5000 0.2515
# * density: 9565 kg/m³
# * D(E_F): 20.71 states/eV/f.u.
# * uncorrected formation energy: -1404.4 meV/atom

5.
# LaCu4Ir, relaxed, DFT GGA-PBE
data_LaCu4Ir
_cell_length_a 7.1823
_cell_length_b 7.1823
_cell_length_c 7.1823
_cell_angle_alpha 90.00
_cell_angle_beta 90.00
_cell_angle_gamma 90.00
_symmetry_space_group_name_H-M 'F -4 3 m'
_symmetry_Int_Tables_number 216
_symmetry_space_group_name_Hall 'F -4 2 3'
loop_
_atom_site_label
_atom_site_type_symbol
_atom_site_fract_x
_atom_site_fract_y
_atom_site_fract_z
La1 La 0.0000 0.0000 0.0000
Cu1 Cu 0.1232 0.1232 0.6232
Ir1 Ir 0.2500 0.2500 0.2500
# * density: 10493 kg/m³
# * D(E_F): 3.30 states/eV/f.u.
# * raw total energy: -123.55 eV per cell

6.
# RbCd2Cu2, relaxed, DFT GGA-PBE
data_RbCd2Cu2
_cell_length_a 4.7504
_cell_length_b 4.7504
_cell_length_c 10.9034
_cell_angle_alpha 90.00
_cell_angle_beta 90.00
_cell_angle_gamma 90.00
_symmetry_space_group_name_H-M 'I 4/m m m'
_symmetry_Int_Tables_number 139
_symmetry_space_group_name_Hall '-I 4 2'
loop_
_atom_site_label
_atom_site_type_symbol
_atom_site_fract_x
_atom_site_fract_y
_atom_site_fract_z
Rb1 Rb 0.0000 0.0000 0.0000
Cd1 Cd 0.0000 0.5000 0.2500
Cu1 Cu 0.0000 0.0000 0.3856
# * density: 5903 kg/m³
# * D(E_F): 1.95 states/eV/f.u.
# * excess energy over the best structure of this formula in the dataset: 0.000 eV/atom

7.
# CsSr2LiGa, relaxed, DFT GGA-PBE
data_CsSr2LiGa
_cell_length_a 6.3996
_cell_length_b 6.3996
_cell_length_c 5.6638
_cell_angle_alpha 90.00
_cell_angle_beta 90.00
_cell_angle_gamma 90.00
_symmetry_space_group_name_H-M 'P 4/m m m'
_symmetry_Int_Tables_number 123
_symmetry_space_group_name_Hall '-P 4 2'
loop_
_atom_site_label
_atom_site_type_symbol
_atom_site_fract_x
_atom_site_fract_y
_atom_site_fract_z
Cs1 Cs 0.0000 0.0000 0.0000
Sr1 Sr 0.0000 0.5000 0.5000
Li1 Li 0.5000 0.5000 0.0000
Ga1 Ga 0.5000 0.5000 0.5000
# * density: 2755 kg/m³
# * D(E_F): 5.47 states/eV/f.u.
# * raw total energy: -8.97 eV per cell

8.
# Ga2CuNi6, relaxed, DFT GGA-PBE
data_Ga2CuNi6
_cell_length_a 12.7296
_cell_length_b 6.7873
_cell_length_c 2.5845
_cell_angle_alpha 90.00
_cell_angle_beta 101.47
_cell_angle_gamma 90.00
_symmetry_space_group_name_H-M 'C 1 2/m 1'
_symmetry_Int_Tables_number 12
loop_
_symmetry_equiv_pos_as_xyz
'x,y,z'
'-x,-y,-z'
'-x,y,-z'
'x,-y,z'
'x+1/2,y+1/2,z'
'-x+1/2,-y+1/2,-z'
'-x+1/2,y+1/2,-z'
'x+1/2,-y+1/2,z'
loop_
_atom_site_label
_atom_site_type_symbol
_atom_site_fract_x
_atom_site_fract_y
_atom_site_fract_z
Ga1 Ga 0.1685 0.0000 0.1683
Cu1 Cu 0.0000 0.5000 0.5000
Ni1 Ni 0.0000 0.1890 0.0000
Ni2 Ni 0.1653 0.3070 0.6653
# * density: 8425 kg/m³
# * D(E_F): 10.77 states/eV/f.u.
# * raw total energy: -90.60 eV per cell

9.
# Zn2CrHAu, relaxed, DFT GGA-PBE
data_Zn2CrHAu
_cell_length_a 4.1774
_cell_length_b 4.1774
_cell_length_c 3.6018
_cell_angle_alpha 90.00
_cell_angle_beta 90.00
_cell_angle_gamma 90.00
_symmetry_space_group_name_H-M 'P 4/m m m'
_symmetry_Int_Tables_number 123
_symmetry_space_group_name_Hall '-P 4 2'
loop_
_atom_site_label
_atom_site_type_symbol
_atom_site_fract_x
_atom_site_fract_y
_atom_site_fract_z
Zn1 Zn 0.0000 0.5000 0.0000
Cr1 Cr 0.0000 0.0000 0.5000
H1 H 0.0000 0.0000 0.0000
Au1 Au 0.5000 0.5000 0.5000
# * density: 10060 kg/m³
# * D(E_F): 2.12 states/eV/f.u.
# * raw total energy: -18.53 eV per cell

10.
# Nb3AgOs, relaxed, DFT GGA-PBE
data_Nb3AgOs
_cell_length_a 4.8574
_cell_length_b 4.8574
_cell_length_c 4.8574
_cell_angle_alpha 90.00
_cell_angle_beta 90.00
_cell_angle_gamma 90.00
_symmetry_space_group_name_H-M 'P m -3 m'
_symmetry_Int_Tables_number 221
_symmetry_space_group_name_Hall '-P 4 2 3'
loop_
_atom_site_label
_atom_site_type_symbol
_atom_site_fract_x
_atom_site_fract_y
_atom_site_fract_z
Nb1 Nb 0.0000 0.0000 0.5000
Ag1 Ag 0.5000 0.5000 0.5000
Os1 Os 0.0000 0.0000 0.0000
# * density: 8358 kg/m³
# * D(E_F): 4.59 states/eV/f.u.
# * excess energy over the best structure of this formula in the dataset: 0.000 eV/atom

11.
# Y2GaH2, relaxed, DFT GGA-PBE
data_Y2GaH2
_cell_length_a 3.6028
_cell_length_b 3.6028
_cell_length_c 12.5093
_cell_angle_alpha 90.00
_cell_angle_beta 90.00
_cell_angle_gamma 90.00
_symmetry_space_group_name_H-M 'I 4/m m m'
_symmetry_Int_Tables_number 139
_symmetry_space_group_name_Hall '-I 4 2'
loop_
_atom_site_label
_atom_site_type_symbol
_atom_site_fract_x
_atom_site_fract_y
_atom_site_fract_z
Y1 Y 0.0000 0.0000 0.1442
Ga1 Ga 0.0000 0.0000 0.5000
H1 H 0.0000 0.5000 0.2500
# * density: 5104 kg/m³
# * D(E_F): 1.69 states/eV/f.u.
# * raw total energy: -52.24 eV per cell

12.
# BaHf2Bi2, relaxed, DFT GGA-PBE
data_BaHf2Bi2
_cell_length_a 4.4995
_cell_length_b 4.4995
_cell_length_c 15.3553
_cell_angle_alpha 90.00
_cell_angle_beta 90.00
_cell_angle_gamma 90.00
_symmetry_space_group_name_H-M 'I 4/m m m'
_symmetry_Int_Tables_number 139
_symmetry_space_group_name_Hall '-I 4 2'
loop_
_atom_site_label
_atom_site_type_symbol
_atom_site_fract_x
_atom_site_fract_y
_atom_site_fract_z
Ba1 Ba 0.0000 0.0000 0.0000
Hf1 Hf 0.0000 0.5000 0.2500
Bi1 Bi 0.0000 0.0000 0.3813
# * density: 9746 kg/m³
# * D(E_F): 4.29 states/eV/f.u.
# * excess energy over the best structure of this formula in the dataset: 0.000 eV/atom